Entry 1:
Hf3Zr2Sc3 after structural relaxation. Source: Alexandria via LeMat-Bulk, functional PBE.

Cell: 5.763 5.763 5.763 Å, 94.53 94.53 94.53°
Element x y z (fractional)
Hf (0.000, 0.687, 0.313)
Hf (0.313, 0.000, 0.687)
Hf (0.687, 0.313, 0.000)
Zr (0.186, 0.186, 0.186)
Zr (0.814, 0.814, 0.814)
Sc (0.222, 0.500, 0.778)
Sc (0.500, 0.778, 0.222)
Sc (0.778, 0.222, 0.500)

**Symmetry**: R32 (155)
**Electronic total energy**: -8.094 eV per atom

---

Entry 2:
InC3 after structural relaxation. Source: Alexandria via LeMat-Bulk, functional PBE.

Cell: 3.843 2.526 5.613 Å, 90.00 90.10 90.00°
Element x y z (fractional)
In (0.000, 0.000, 0.000)
C (0.499, 0.500, 0.656)
C (0.500, 0.000, 0.500)
C (0.501, 0.500, 0.344)

**Symmetry**: P2/m (10)
**Electronic total energy**: -5.672 eV per atom
**E above lowest polymorph**: 4.12 eV per formula unit

---

Entry 3:
NpIn2Ru after structural relaxation. Source: Alexandria via LeMat-Bulk, functional PBE.

Cell: 4.019 9.023 5.180 Å, 90.00 112.21 90.00°
Element x y z (fractional)
Np (0.054, 0.250, 0.118)
Np (0.946, 0.750, 0.882)
In (0.354, 0.046, 0.709)
In (0.354, 0.454, 0.709)
In (0.646, 0.546, 0.291)
In (0.646, 0.954, 0.291)
Ru (0.218, 0.750, 0.446)
Ru (0.782, 0.250, 0.554)

**Symmetry**: P2_1/m (11)
**Electronic total energy**: -6.953 eV per atom

---

Entry 4:
ReSbBrO2 after structural relaxation. Source: Alexandria via LeMat-Bulk, functional PBE.

Cell: 3.917 3.917 5.693 Å, 90.00 90.00 90.00°
Element x y z (fractional)
Re (0.000, 0.000, 0.000)
Sb (0.000, 0.000, 0.500)
Br (0.500, 0.500, 0.500)
O (0.000, 0.500, 0.000)
O (0.500, 0.000, 0.000)

**Symmetry**: P4/mmm (123)
**Electronic total energy**: -6.319 eV per atom
**ΔE_f (raw)**: -3.43 eV per formula unit

---

Entry 5:
Ba2TaCu4 after structural relaxation. Source: Alexandria via LeMat-Bulk, functional PBE.

Cell: 8.934 8.934 8.934 Å, 147.65 147.65 46.40°
Element x y z (fractional)
Ba (0.136, 0.136, 0.000)
Ba (0.864, 0.864, 0.000)
Ta (0.500, 0.500, 0.000)
Cu (0.000, 0.500, 0.500)
Cu (0.348, 0.348, 0.000)
Cu (0.500, 0.000, 0.500)
Cu (0.652, 0.652, 0.000)

**Symmetry**: I4/mmm (139)
**Electronic total energy**: -4.125 eV per atom